## Ca2PrNi (GGA-PBE)

Data for crystalline Ca2PrNi at its relaxed geometry.

The structure in extended XYZ format:
```
8
Lattice="-1.298 2.184 -2.899 -3.716 -5.500 0.079 -6.411 4.421 6.203" Properties=species:S:1:pos:R:3 pbc="T T T"
Ca -6.771 -0.624 2.560
Ca -4.654 1.730 0.824
Ca -9.076 0.964 4.790
Ca -2.350 0.141 -1.406
Pr -5.844 -1.429 -1.027
Pr -5.582 2.534 4.410
Ni -7.553 2.291 2.547
Ni -3.873 -1.185 0.837
```

Values from the calculation:
DOS(E_F), states/eV/atom: 1.07
Offset from the most stable computed form, meV per atom: 0
Energy of formation, kJ/mol of atoms: -9.0